{
  "formula": "Er4Bi2SbTe",
  "functional": "PBE",
  "state": "relaxed",
  "space_group": "P2/m, No. 10",
  "formation_energy_uncorrected_ev_per_atom": -1.01,
  "lattice": [[7.601, 0.000, 0.000], [0.000, 4.394, 0.000], [-2.529, 0.000, 7.169]],
  "species": ["Er", "Er", "Er", "Er", "Bi", "Bi", "Sb", "Te"],
  "fractional_positions": [[0.246, 0.000, 0.244], [0.250, 0.500, 0.755], [0.750, 0.500, 0.245], [0.754, 0.000, 0.756], [0.500, 0.000, 0.000], [0.500, 0.500, 0.500], [0.000, 0.500, 0.000], [0.000, 0.000, 0.500]]
}